First-principles (PBE) data for a relaxed structure of Li2ZrMn, as listed in the Alexandria database.

Cell and atoms, written as POSCAR:
```
Li2ZrMn
1.0
-2.0571 2.0571 3.9442
2.0571 -2.0571 3.9442
2.0571 2.0571 -3.9442
Li Zr Mn
2 1 1
Direct
0.0000 0.0000 0.0000
0.7500 0.2500 0.5000
0.5000 0.5000 0.0000
0.2500 0.7500 0.5000
```

Results
**Distance to the lowest polymorph of the same formula**: 17.9 kJ per mole of atoms

---

First-principles (PBE) data for a relaxed structure of Tb3Ce2Co4, as listed in the Alexandria database.

Cell and atoms, written as POSCAR:
```
Tb3Ce2Co4
1.0
5.3981 -2.0119 0.0000
5.3981 2.0119 0.0000
-1.6755 0.0000 8.4965
Tb Ce Co
3 2 4
Direct
0.0000 0.0000 0.0000
0.3787 0.3787 0.6163
0.6213 0.6213 0.3837
0.3194 0.3194 0.2210
0.6806 0.6806 0.7790
0.0857 0.0857 0.6252
0.2854 0.2854 0.9120
0.7146 0.7146 0.0880
0.9143 0.9143 0.3748
```

Results
**Distance to the lowest polymorph of the same formula**: 0.0 kJ per mole of atoms

---

First-principles (PBE) data for a relaxed structure of ZrRu2W, as listed in the Alexandria database.

Cell and atoms, written as POSCAR:
```
ZrRu2W
1.0
1.4276 0.8242 9.2405
-1.4276 0.8242 9.2405
0.0000 -1.6485 9.2405
Zr Ru W
1 2 1
Direct
0.0000 0.0000 0.0000
0.2442 0.2442 0.2442
0.7558 0.7558 0.7558
0.5000 0.5000 0.5000
```

---

no.,magnetization (μB per atom),energy relative to the elements (eV per atom)
1,0.530,0.37
2,0.000,-0.19
3,0.000,0.14